No. 1
! TmLuBi PBE relaxed; values from VASP
! * formation energy from the elements: -0.401 eV per atom
! * symmetry: No. 107
&SYSTEM
  ibrav = 0, nat = 3, ntyp = 3
/
ATOMIC_SPECIES
Lu 174.97 Lu.upf
Tm 168.93 Tm.upf
Bi 208.98 Bi.upf
CELL_PARAMETERS angstrom
3.974 0.000 0.000
0.000 3.974 0.000
-1.987 -1.987 5.371
ATOMIC_POSITIONS angstrom
Lu 0.000 0.000 2.954
Tm 1.987 1.987 4.917
Bi 1.987 1.987 1.261

=====

No. 2
! Ac7PmPr3 PBE relaxed; values from VASP
! * formation energy from the elements: 0.188 eV per atom
! * symmetry: No. 12
&SYSTEM
  ibrav = 0, nat = 11, ntyp = 3
/
ATOMIC_SPECIES
Ac 227.00 Ac.upf
Pm 145.00 Pm.upf
Pr 140.91 Pr.upf
CELL_PARAMETERS angstrom
-3.637 -1.227 -5.553
9.986 -3.325 -4.995
0.228 -4.910 4.627
ATOMIC_POSITIONS angstrom
Ac 4.870 -7.494 -4.561
Ac 6.848 -4.675 -1.895
Ac 1.156 -6.147 -0.266
Ac 5.421 -3.315 -5.655
Ac -1.704 -3.069 -0.463
Ac -0.271 -4.787 -4.026
Ac 1.707 -1.968 -1.360
Pm 3.289 -4.731 -2.960
Pr -0.451 -4.263 2.838
Pr 4.993 -1.662 -2.497
Pr -2.958 -1.875 -3.764

=====

No. 3
! Ce2Hg3Pt PBE relaxed; values from VASP
! * formation energy from the elements: -0.522 eV per atom
! * symmetry: No. 25
&SYSTEM
  ibrav = 0, nat = 6, ntyp = 3
/
ATOMIC_SPECIES
Ce 140.12 Ce.upf
Hg 200.59 Hg.upf
Pt 195.08 Pt.upf
CELL_PARAMETERS angstrom
-1.282 2.557 1.916
-1.777 -3.308 3.225
7.297 0.365 4.396
ATOMIC_POSITIONS angstrom
Ce -0.630 -1.641 1.768
Ce 3.497 0.175 2.107
Hg 5.415 1.582 4.607
Hg 0.572 1.339 1.689
Hg 3.294 -0.134 5.476
Pt 0.864 -0.256 4.013

=====

No. 4
! InAuS2 PBE relaxed; values from VASP
! * symmetry: No. 140
! * energy relative to the elements, uncorrected: 40 meV per atom
&SYSTEM
  ibrav = 0, nat = 8, ntyp = 3
/
ATOMIC_SPECIES
S 32.06 S.upf
Au 196.97 Au.upf
In 114.82 In.upf
CELL_PARAMETERS angstrom
7.238 0.000 0.000
0.000 7.238 0.000
3.619 3.619 3.237
ATOMIC_POSITIONS angstrom
S 5.880 2.261 0.000
S 1.358 4.977 0.000
S 2.261 1.358 0.000
S 4.977 5.880 0.000
Au 7.238 7.238 1.618
Au 3.619 3.619 1.618
In 7.238 3.619 1.618
In 3.619 7.238 1.618

=====

No. 5
! LaCrCo2 PBE relaxed; values from VASP
! * formation energy from the elements: 0.460 eV per atom
! * symmetry: No. 44
&SYSTEM
  ibrav = 0, nat = 4, ntyp = 3
/
ATOMIC_SPECIES
Co 58.93 Co.upf
Cr 52.00 Cr.upf
La 138.91 La.upf
CELL_PARAMETERS angstrom
5.444 0.044 -0.160
2.571 4.798 0.160
-3.460 -3.327 2.573
ATOMIC_POSITIONS angstrom
Co 0.239 0.145 0.000
Co 1.353 1.822 1.367
Cr 3.863 2.334 0.000
La 3.107 -0.364 1.207

=====

No. 6
! K2ScAu PBE relaxed; values from VASP
! * offset from the most stable computed form: 90.1 meV/atom
! * formation energy from the elements: -0.032 eV per atom
! * symmetry: No. 160
&SYSTEM
  ibrav = 0, nat = 4, ntyp = 3
/
ATOMIC_SPECIES
Au 196.97 Au.upf
K 39.10 K.upf
Sc 44.96 Sc.upf
CELL_PARAMETERS angstrom
10.999 -0.065 -0.038
10.208 4.095 -0.038
10.208 1.940 3.607
ATOMIC_POSITIONS angstrom
Au 24.110 4.582 2.709
K 0.901 0.171 0.101
K 7.382 1.403 0.829
Sc 14.730 2.799 1.655

=====

| no. | calculated volume (A^3/atom) | DFT total energy (eV per atom) | magnetization (μB/cell) |
| --- | --- | --- | --- |
| 1 | 28.27 | -4.6922 | 1.02 |
| 2 | 42.85 | -4.1615 | 0.00 |
| 3 | 24.22 | -3.6572 | 1.62 |
| 4 | 21.20 | -3.5276 | 0.00 |
| 5 | 17.13 | -6.7304 | 6.05 |
| 6 | 41.64 | -2.9833 | 0.00 |